No. 1
Computed, not measured: a relaxed structure of Nd2ThSi3Pt12 at the GGA-PBE level of DFT.

## Properties
Its electronic total energy is -6.449 eV/atom. The uncorrected formation energy comes out at -0.58 eV per atom. The total magnetization is 0.0 Bohr magnetons per cell. Its space group is No. 166. Its crystal system is trigonal.

The structure in CIF format:
```
data_Nd2ThSi3Pt12
_symmetry_space_group_name_H-M 'P 1'
_symmetry_Int_Tables_number 1
_cell_length_a 7.841
_cell_length_b 7.841
_cell_length_c 7.841
_cell_angle_alpha 63.91
_cell_angle_beta 63.91
_cell_angle_gamma 63.91
loop_
_symmetry_equiv_pos_as_xyz
'x,y,z'
loop_
_atom_site_label
_atom_site_type_symbol
_atom_site_fract_x
_atom_site_fract_y
_atom_site_fract_z
Nd1 Nd 0.096 0.096 0.096
Nd2 Nd 0.904 0.904 0.904
Th1 Th 0.500 0.500 0.500
Si1 Si 0.000 0.500 0.500
Si2 Si 0.500 0.000 0.500
Si3 Si 0.500 0.500 0.000
Pt1 Pt 0.090 0.647 0.647
Pt2 Pt 0.152 0.152 0.601
Pt3 Pt 0.152 0.601 0.152
Pt4 Pt 0.353 0.353 0.910
Pt5 Pt 0.353 0.910 0.353
Pt6 Pt 0.399 0.848 0.848
Pt7 Pt 0.601 0.152 0.152
Pt8 Pt 0.647 0.090 0.647
Pt9 Pt 0.647 0.647 0.090
Pt10 Pt 0.848 0.399 0.848
Pt11 Pt 0.848 0.848 0.399
Pt12 Pt 0.910 0.353 0.353
```



No. 2
Computed, not measured: a relaxed structure of NdThSi2Pt5 at the GGA-PBE level of DFT.

## Properties
Its electronic total energy is -6.952 eV/atom. The uncorrected formation energy comes out at -1.04 eV per atom. The total magnetization is 0.0 Bohr magnetons per cell. Its space group is No. 123. Its crystal system is tetragonal.

The structure in CIF format:
```
data_NdThSi2Pt5
_symmetry_space_group_name_H-M 'P 1'
_symmetry_Int_Tables_number 1
_cell_length_a 4.330
_cell_length_b 4.330
_cell_length_c 8.871
_cell_angle_alpha 90.00
_cell_angle_beta 90.00
_cell_angle_gamma 90.00
loop_
_symmetry_equiv_pos_as_xyz
'x,y,z'
loop_
_atom_site_label
_atom_site_type_symbol
_atom_site_fract_x
_atom_site_fract_y
_atom_site_fract_z
Nd1 Nd 0.000 0.000 0.000
Th1 Th 0.000 0.000 0.500
Si1 Si 0.500 0.500 0.364
Si2 Si 0.500 0.500 0.636
Pt1 Pt 0.000 0.500 0.239
Pt2 Pt 0.000 0.500 0.761
Pt3 Pt 0.500 0.000 0.239
Pt4 Pt 0.500 0.000 0.761
Pt5 Pt 0.500 0.500 0.000
```



No. 3
Computed, not measured: a relaxed structure of Nd2TiSi4Pt3 at the GGA-PBE level of DFT.

## Properties
Its electronic total energy is -6.767 eV/atom. The uncorrected formation energy comes out at -1.04 eV per atom. The total magnetization is 0.0 Bohr magnetons per cell. Its space group is No. 115. Its crystal system is tetragonal.

The structure in CIF format:
```
data_Nd2TiSi4Pt3
_symmetry_space_group_name_H-M 'P 1'
_symmetry_Int_Tables_number 1
_cell_length_a 4.206
_cell_length_b 4.206
_cell_length_c 10.352
_cell_angle_alpha 90.00
_cell_angle_beta 90.00
_cell_angle_gamma 90.00
loop_
_symmetry_equiv_pos_as_xyz
'x,y,z'
loop_
_atom_site_label
_atom_site_type_symbol
_atom_site_fract_x
_atom_site_fract_y
_atom_site_fract_z
Nd1 Nd 0.000 0.500 0.242
Nd2 Nd 0.500 0.000 0.758
Ti1 Ti 0.000 0.000 0.500
Si1 Si 0.000 0.000 0.000
Si2 Si 0.000 0.500 0.642
Si3 Si 0.500 0.000 0.358
Si4 Si 0.500 0.500 0.000
Pt1 Pt 0.000 0.500 0.881
Pt2 Pt 0.500 0.000 0.119
Pt3 Pt 0.500 0.500 0.500
```



No. 4
Computed, not measured: a relaxed structure of NdTiSi2Pt5 at the GGA-PBE level of DFT.

## Properties
Its electronic total energy is -6.770 eV/atom. The uncorrected formation energy comes out at -0.80 eV per atom. The total magnetization is 0.0 Bohr magnetons per cell. Its space group is No. 123. Its crystal system is tetragonal.

The structure in CIF format:
```
data_NdTiSi2Pt5
_symmetry_space_group_name_H-M 'P 1'
_symmetry_Int_Tables_number 1
_cell_length_a 4.055
_cell_length_b 4.055
_cell_length_c 10.666
_cell_angle_alpha 90.00
_cell_angle_beta 90.00
_cell_angle_gamma 90.00
loop_
_symmetry_equiv_pos_as_xyz
'x,y,z'
loop_
_atom_site_label
_atom_site_type_symbol
_atom_site_fract_x
_atom_site_fract_y
_atom_site_fract_z
Nd1 Nd 0.000 0.000 0.000
Ti1 Ti 0.000 0.000 0.500
Si1 Si 0.500 0.500 0.220
Si2 Si 0.500 0.500 0.780
Pt1 Pt 0.000 0.500 0.342
Pt2 Pt 0.000 0.500 0.658
Pt3 Pt 0.500 0.000 0.342
Pt4 Pt 0.500 0.000 0.658
Pt5 Pt 0.500 0.500 0.000
```



No. 5
Computed, not measured: a relaxed structure of Nd2TmSi4Pt3 at the GGA-PBE level of DFT.

## Properties
Its electronic total energy is -6.391 eV/atom. The uncorrected formation energy comes out at -1.01 eV per atom. The total magnetization is 0.0 Bohr magnetons per cell. Its space group is No. 115. Its crystal system is tetragonal.

The structure in CIF format:
```
data_Nd2TmSi4Pt3
_symmetry_space_group_name_H-M 'P 1'
_symmetry_Int_Tables_number 1
_cell_length_a 4.252
_cell_length_b 4.252
_cell_length_c 10.811
_cell_angle_alpha 90.00
_cell_angle_beta 90.00
_cell_angle_gamma 90.00
loop_
_symmetry_equiv_pos_as_xyz
'x,y,z'
loop_
_atom_site_label
_atom_site_type_symbol
_atom_site_fract_x
_atom_site_fract_y
_atom_site_fract_z
Nd1 Nd 0.000 0.500 0.232
Nd2 Nd 0.500 0.000 0.768
Tm1 Tm 0.000 0.000 0.500
Si1 Si 0.000 0.000 0.000
Si2 Si 0.000 0.500 0.664
Si3 Si 0.500 0.000 0.336
Si4 Si 0.500 0.500 0.000
Pt1 Pt 0.000 0.500 0.890
Pt2 Pt 0.500 0.000 0.110
Pt3 Pt 0.500 0.500 0.500
```



No. 6
Computed, not measured: a relaxed structure of NdTmSi2Pt2 at the GGA-PBE level of DFT.

## Properties
Its electronic total energy is -6.494 eV/atom. The uncorrected formation energy comes out at -1.13 eV per atom. The total magnetization is 0.0 Bohr magnetons per cell. Its space group is No. 164. Its crystal system is trigonal.

The structure in CIF format:
```
data_NdTmSi2Pt2
_symmetry_space_group_name_H-M 'P 1'
_symmetry_Int_Tables_number 1
_cell_length_a 4.167
_cell_length_b 4.167
_cell_length_c 8.176
_cell_angle_alpha 90.00
_cell_angle_beta 90.00
_cell_angle_gamma 120.00
loop_
_symmetry_equiv_pos_as_xyz
'x,y,z'
loop_
_atom_site_label
_atom_site_type_symbol
_atom_site_fract_x
_atom_site_fract_y
_atom_site_fract_z
Nd1 Nd 0.000 0.000 0.000
Tm1 Tm 0.000 0.000 0.500
Si1 Si 0.333 0.667 0.742
Si2 Si 0.667 0.333 0.258
Pt1 Pt 0.333 0.667 0.268
Pt2 Pt 0.667 0.333 0.732
```



No. 7
Computed, not measured: a relaxed structure of Nd2USi4Pt3 at the GGA-PBE level of DFT.

## Properties
Its electronic total energy is -6.867 eV/atom. The uncorrected formation energy comes out at -0.80 eV per atom. The total magnetization is 2.3 Bohr magnetons per cell. Its space group is No. 115. Its crystal system is tetragonal.

The structure in CIF format:
```
data_Nd2USi4Pt3
_symmetry_space_group_name_H-M 'P 1'
_symmetry_Int_Tables_number 1
_cell_length_a 4.274
_cell_length_b 4.274
_cell_length_c 10.878
_cell_angle_alpha 90.00
_cell_angle_beta 90.00
_cell_angle_gamma 90.00
loop_
_symmetry_equiv_pos_as_xyz
'x,y,z'
loop_
_atom_site_label
_atom_site_type_symbol
_atom_site_fract_x
_atom_site_fract_y
_atom_site_fract_z
Nd1 Nd 0.000 0.500 0.230
Nd2 Nd 0.500 0.000 0.770
U1 U 0.000 0.000 0.500
Si1 Si 0.000 0.000 0.000
Si2 Si 0.000 0.500 0.669
Si3 Si 0.500 0.000 0.331
Si4 Si 0.500 0.500 0.000
Pt1 Pt 0.000 0.500 0.892
Pt2 Pt 0.500 0.000 0.108
Pt3 Pt 0.500 0.500 0.500
```



No. 8
Computed, not measured: a relaxed structure of NdYSiPt at the GGA-PBE level of DFT.

## Properties
Its electronic total energy is -6.655 eV/atom. The uncorrected formation energy comes out at -0.98 eV per atom. The total magnetization is 0.0 Bohr magnetons per cell. Its space group is No. 38. Its crystal system is orthorhombic.

The structure in CIF format:
```
data_NdYSiPt
_symmetry_space_group_name_H-M 'P 1'
_symmetry_Int_Tables_number 1
_cell_length_a 4.202
_cell_length_b 5.845
_cell_length_c 5.845
_cell_angle_alpha 41.01
_cell_angle_beta 90.00
_cell_angle_gamma 90.00
loop_
_symmetry_equiv_pos_as_xyz
'x,y,z'
loop_
_atom_site_label
_atom_site_type_symbol
_atom_site_fract_x
_atom_site_fract_y
_atom_site_fract_z
Nd1 Nd 0.000 0.000 0.000
Y1 Y 0.500 0.720 0.720
Si1 Si 0.500 0.426 0.426
Pt1 Pt 0.000 0.279 0.279
```